No. 1
# DyPN3 | the Alexandria database | PBE | relaxed
# Total magnetization: 0.00 μB per formula unit
# Raw formation energy: -74.6 kJ/mol of atoms
# DFT total energy: -7.7708 eV per atom
data_DyPN3
_space_group_name_H-M_alt 'P 1 21/c 1'
_space_group_IT_number 14
_space_group_name_Hall '-P 2ybc'
_cell_length_a 5.9962
_cell_length_b 5.6563
_cell_length_c 9.6306
_cell_angle_alpha 90.00
_cell_angle_beta 113.48
_cell_angle_gamma 90.00
loop_
_atom_site_label
_atom_site_type_symbol
_atom_site_fract_x
_atom_site_fract_y
_atom_site_fract_z
Dy1 Dy 0.2393 0.1329 0.3776
P1 P 0.1169 0.6732 0.4921
N1 N 0.0469 0.5402 0.6325
N2 N 0.0702 0.0935 0.5599
N3 N 0.3758 0.7466 0.0059

---

No. 2
# DyPN2 | the Alexandria database | PBE | relaxed
# Total magnetization: 0.00 μB per formula unit
# Raw formation energy: 18.8 kJ/mol of atoms
# DFT total energy: -6.4705 eV per atom
data_DyPN2
_space_group_name_H-M_alt 'R -3 m'
_space_group_IT_number 166
_space_group_name_Hall '-R 3 2"'
_cell_length_a 2.8937
_cell_length_b 2.8937
_cell_length_c 19.8991
_cell_angle_alpha 90.00
_cell_angle_beta 90.00
_cell_angle_gamma 120.00
loop_
_atom_site_label
_atom_site_type_symbol
_atom_site_fract_x
_atom_site_fract_y
_atom_site_fract_z
Dy1 Dy 0.0000 0.0000 0.0000
P1 P 0.0000 0.0000 0.5000
N1 N 0.0000 0.0000 0.1195

---

No. 3
# Dy12P3N5 | the Alexandria database | PBE | relaxed
# Total magnetization: 0.00 μB per formula unit
# Raw formation energy: -108.0 kJ/mol of atoms
# DFT total energy: -6.7730 eV per atom
data_Dy12P3N5
_space_group_name_H-M_alt 'I a -3 d'
_space_group_IT_number 230
_space_group_name_Hall '-I 4bd 2c 3'
_cell_length_a 15.0341
_cell_length_b 15.0341
_cell_length_c 15.0341
_cell_angle_alpha 90.00
_cell_angle_beta 90.00
_cell_angle_gamma 90.00
loop_
_atom_site_label
_atom_site_type_symbol
_atom_site_fract_x
_atom_site_fract_y
_atom_site_fract_z
Dy1 Dy 0.0324 0.0552 0.6504
P1 P 0.0000 0.2500 0.1250
N1 N 0.0000 0.0000 0.0000
N2 N 0.0000 0.2500 0.3750

---

No. 4
# DyPa2P2N6 | the Alexandria database | PBE | relaxed
# Total magnetization: 1.08 μB per formula unit
# Raw formation energy: -100.0 kJ/mol of atoms
# DFT total energy: -8.7065 eV per atom
data_DyPa2P2N6
_space_group_name_H-M_alt 'P -3'
_space_group_IT_number 147
_space_group_name_Hall '-P 3'
_cell_length_a 5.6318
_cell_length_b 5.6318
_cell_length_c 5.7443
_cell_angle_alpha 90.00
_cell_angle_beta 90.00
_cell_angle_gamma 120.00
loop_
_atom_site_label
_atom_site_type_symbol
_atom_site_fract_x
_atom_site_fract_y
_atom_site_fract_z
Dy1 Dy 0.0000 0.0000 0.0000
Pa1 Pa 0.3333 0.6667 0.6314
P1 P 0.3333 0.6667 0.1341
N1 N 0.0754 0.3789 0.2599

---

Which formula does entry 4 have? DyPa2P2N6